Record 1
DFT (PBE) results for crystalline Ba2InP at its relaxed geometry.

Values from the calculation:
DOS at the Fermi energy: 7.5 states/eV per cell
Calculated total energy: -0.1308 hartree per atom
Energy above the most stable polymorph in this dataset: 46 meV per atom
Theoretical density: 4.1 g/cm3

```
data_Ba2InP
_space_group_name_H-M_alt 'C 1 2/m 1'
_space_group_IT_number 12
_cell_length_a 7.917
_cell_length_b 4.568
_cell_length_c 9.669
_cell_angle_alpha 90.00
_cell_angle_beta 105.68
_cell_angle_gamma 90.00
loop_
_space_group_symop_operation_xyz
'x,y,z'
'-x,-y,-z'
'-x,y,-z'
'x,-y,z'
'x+1/2,y+1/2,z'
'-x+1/2,-y+1/2,-z'
'-x+1/2,y+1/2,-z'
'x+1/2,-y+1/2,z'
loop_
_atom_site_label
_atom_site_fract_x
_atom_site_fract_y
_atom_site_fract_z
Ba1 0.229 0.000 0.188
In1 0.000 0.000 0.500
P1 0.000 0.500 0.000
```


Record 2
DFT (PBE) results for crystalline NiRhAu2 at its relaxed geometry.

Values from the calculation:
DOS at the Fermi energy: 9.1 states/eV per cell
Calculated total energy: -0.1733 hartree per atom
Energy above the most stable polymorph in this dataset: 121 meV per atom
Theoretical density: 14.9 g/cm3

```
data_NiRhAu2
_space_group_name_H-M_alt 'P m m m'
_space_group_IT_number 47
_cell_length_a 2.825
_cell_length_b 3.835
_cell_length_c 5.707
_cell_angle_alpha 90.00
_cell_angle_beta 90.00
_cell_angle_gamma 90.00
loop_
_space_group_symop_operation_xyz
'x,y,z'
'-x,-y,-z'
'-x,-y,z'
'x,y,-z'
'x,-y,-z'
'-x,y,z'
'-x,y,-z'
'x,-y,z'
loop_
_atom_site_label
_atom_site_fract_x
_atom_site_fract_y
_atom_site_fract_z
Ni1 0.000 0.000 0.000
Rh1 0.000 0.000 0.500
Au1 0.500 0.500 0.242
```


Record 3
DFT (PBE) results for crystalline SrSiW2N at its relaxed geometry.

Values from the calculation:
DOS at the Fermi energy: 5.8 states/eV per cell
Uncorrected formation energy: 2.046 eV per atom
Calculated total energy: -0.2286 hartree per atom
Theoretical density: 6.9 g/cm3

```
data_SrSiW2N
_space_group_name_H-M_alt 'P 4/m m m'
_space_group_IT_number 123
_space_group_name_Hall '-P 4 2'
_cell_length_a 4.529
_cell_length_b 4.529
_cell_length_c 5.861
_cell_angle_alpha 90.00
_cell_angle_beta 90.00
_cell_angle_gamma 90.00
loop_
_atom_site_label
_atom_site_fract_x
_atom_site_fract_y
_atom_site_fract_z
Sr1 0.000 0.000 0.000
Si1 0.000 0.000 0.500
W1 0.000 0.500 0.500
N1 0.500 0.500 0.000
```


Record 4
DFT (PBE) results for crystalline Pm6PrY3 at its relaxed geometry.

Values from the calculation:
DOS at the Fermi energy: 59.0 states/eV per cell
Calculated total energy: -0.1885 hartree per atom
Energy above the most stable polymorph in this dataset: 12 meV per atom
Theoretical density: 6.2 g/cm3

```
data_Pm6PrY3
_space_group_name_H-M_alt 'C m c 21'
_space_group_IT_number 36
_cell_length_a 11.196
_cell_length_b 19.479
_cell_length_c 6.261
_cell_angle_alpha 90.00
_cell_angle_beta 90.00
_cell_angle_gamma 90.00
loop_
_space_group_symop_operation_xyz
'x,y,z'
'-x,-y,z+1/2'
'-x,y,z'
'x,-y,z+1/2'
'x+1/2,y+1/2,z'
'-x+1/2,-y+1/2,z+1/2'
'-x+1/2,y+1/2,z'
'x+1/2,-y+1/2,z+1/2'
loop_
_atom_site_label
_atom_site_fract_x
_atom_site_fract_y
_atom_site_fract_z
Pm1 0.000 0.040 0.000
Pm2 0.000 0.281 0.730
Pm3 0.167 0.457 0.632
Pm4 0.239 0.290 0.468
Pr1 0.000 0.199 0.204
Y1 0.000 0.386 0.172
Y2 0.171 0.113 0.558
```